(i)
DFT (PBE-GGA) results for a relaxed structure of VPPbS2.

* V: 27.19 Å³/atom
* DOS at the Fermi energy: 1.30 states/eV/atom

a b c (Å): 5.162 5.162 5.102
angles (deg): 90.00 90.00 90.00
Space group P4/mmm (No. 123)
Asymmetric unit:
V  0.000  0.000  0.000 x1
P  0.500  0.500  0.000 x1
Pb  0.500  0.500  0.500 x1
S  0.000  0.500  0.500 x2



(ii)
DFT (PBE-GGA) results for a relaxed structure of VPPbS2.

* V: 22.03 Å³/atom
* DOS at the Fermi energy: 0.95 states/eV/atom

a b c (Å): 4.799 4.799 4.784
angles (deg): 90.00 90.00 90.00
Space group P4/mmm (No. 123)
Asymmetric unit:
V  0.000  0.000  0.000 x1
P  0.000  0.000  0.500 x1
Pb  0.500  0.500  0.500 x1
S  0.000  0.500  0.000 x2



So which one is most stable? That would be (ii), about 1269 meV per atom below the next structure.



(i)
DFT (PBE-GGA) results for a relaxed structure of PPbWS2.

* V: 27.34 Å³/atom
* DOS at the Fermi energy: 0.69 states/eV/atom

a b c (Å): 5.137 5.137 5.180
angles (deg): 90.00 90.00 90.00
Space group P4/mmm (No. 123)
Asymmetric unit:
P  0.000  0.000  0.000 x1
Pb  0.000  0.000  0.500 x1
W  0.500  0.500  0.000 x1
S  0.000  0.500  0.500 x2



(ii)
DFT (PBE-GGA) results for a relaxed structure of PPbWS2.

* V: 21.67 Å³/atom
* DOS at the Fermi energy: 0.49 states/eV/atom

a b c (Å): 4.693 4.693 4.918
angles (deg): 90.00 90.00 90.00
Space group P4/mmm (No. 123)
Asymmetric unit:
P  0.000  0.000  0.000 x1
Pb  0.500  0.500  0.000 x1
W  0.000  0.000  0.500 x1
S  0.000  0.500  0.500 x2



So which one is most stable? That would be (ii), about 1769 meV per atom below the next structure.



(i)
DFT (PBE-GGA) results for a relaxed structure of YP2PbS.

* V: 26.47 Å³/atom
* DOS at the Fermi energy: 1.12 states/eV/atom

a b c (Å): 5.067 5.067 5.156
angles (deg): 90.00 90.00 90.00
Space group P4/mmm (No. 123)
Asymmetric unit:
Y  0.000  0.000  0.000 x1
P  0.000  0.500  0.500 x2
Pb  0.500  0.500  0.500 x1
S  0.500  0.500  0.000 x1



(ii)
DFT (PBE-GGA) results for a relaxed structure of YP2PbS.

* V: 32.89 Å³/atom
* DOS at the Fermi energy: 1.01 states/eV/atom

a b c (Å): 5.523 5.523 5.392
angles (deg): 90.00 90.00 90.00
Space group P4/mmm (No. 123)
Asymmetric unit:
Y  0.000  0.000  0.000 x1
P  0.000  0.500  0.000 x2
Pb  0.500  0.500  0.500 x1
S  0.000  0.000  0.500 x1



So which one is most stable? That would be (ii), about 265 meV per atom below the next structure.



(i)
DFT (PBE-GGA) results for a relaxed structure of ZnP2PbS.

* V: 29.71 Å³/atom
* DOS at the Fermi energy: 0.92 states/eV/atom

a b c (Å): 5.339 5.339 5.211
angles (deg): 90.00 90.00 90.00
Space group P4/mmm (No. 123)
Asymmetric unit:
Zn  0.000  0.000  0.000 x1
P  0.000  0.500  0.500 x2
Pb  0.500  0.500  0.500 x1
S  0.500  0.500  0.000 x1



(ii)
DFT (PBE-GGA) results for a relaxed structure of ZnP2PbS.

* V: 24.94 Å³/atom
* DOS at the Fermi energy: 0.85 states/eV/atom

a b c (Å): 4.661 4.661 5.740
angles (deg): 90.00 90.00 90.00
Space group P4/mmm (No. 123)
Asymmetric unit:
Zn  0.000  0.000  0.000 x1
P  0.000  0.500  0.000 x2
Pb  0.500  0.500  0.500 x1
S  0.000  0.000  0.500 x1



So which one is most stable? That would be (ii), about 643 meV per atom below the next structure.



(i)
DFT (PBE-GGA) results for a relaxed structure of ZrPPbS2.

* V: 26.47 Å³/atom
* DOS at the Fermi energy: 0.71 states/eV/atom

a b c (Å): 5.083 5.083 5.122
angles (deg): 90.00 90.00 90.00
Space group P4/mmm (No. 123)
Asymmetric unit:
Zr  0.000  0.000  0.000 x1
P  0.500  0.500  0.000 x1
Pb  0.500  0.500  0.500 x1
S  0.000  0.500  0.500 x2



(ii)
DFT (PBE-GGA) results for a relaxed structure of ZrPPbS2.

* V: 25.45 Å³/atom
* DOS at the Fermi energy: 0.49 states/eV/atom

a b c (Å): 4.983 4.983 5.125
angles (deg): 90.00 90.00 90.00
Space group P4/mmm (No. 123)
Asymmetric unit:
Zr  0.000  0.000  0.000 x1
P  0.000  0.000  0.500 x1
Pb  0.500  0.500  0.500 x1
S  0.000  0.500  0.000 x2



So which one is most stable? That would be (ii), about 1206 meV per atom below the next structure.



(i)
DFT (PBE-GGA) results for a relaxed structure of ZrP2PbS.

* V: 26.74 Å³/atom
* DOS at the Fermi energy: 0.68 states/eV/atom

a b c (Å): 5.103 5.103 5.134
angles (deg): 90.00 90.00 90.00
Space group P4/mmm (No. 123)
Asymmetric unit:
Zr  0.000  0.000  0.000 x1
P  0.000  0.500  0.500 x2
Pb  0.500  0.500  0.500 x1
S  0.500  0.500  0.000 x1



(ii)
DFT (PBE-GGA) results for a relaxed structure of ZrP2PbS.

* V: 21.74 Å³/atom
* DOS at the Fermi energy: 0.69 states/eV/atom

a b c (Å): 4.588 4.588 5.164
angles (deg): 90.00 90.00 90.00
Space group P4/mmm (No. 123)
Asymmetric unit:
Zr  0.000  0.000  0.000 x1
P  0.000  0.500  0.500 x2
Pb  0.500  0.500  0.000 x1
S  0.500  0.500  0.500 x1



So which one is most stable? That would be (ii), about 389 meV per atom below the next structure.



(i)
DFT (PBE-GGA) results for a relaxed structure of SbP2Pb2.

* V: 24.92 Å³/atom
* DOS at the Fermi energy: 0.47 states/eV/atom

a b c (Å): 3.451 3.451 20.925
angles (deg): 90.00 90.00 90.00
Space group I4/mmm (No. 139)
Asymmetric unit:
Sb  0.000  0.000  0.000 x2
P  0.000  0.500  0.250 x4
Pb  0.000  0.000  0.381 x4



(ii)
DFT (PBE-GGA) results for a relaxed structure of SbP2Pb2.

* V: 25.50 Å³/atom
* DOS at the Fermi energy: 0.42 states/eV/atom

a b c (Å): 7.909 7.909 4.076
angles (deg): 90.00 90.00 90.00
Space group P4/mbm (No. 127)
Asymmetric unit:
Sb  0.000  0.000  0.000 x2
P  0.177  0.323  0.000 x4
Pb  0.147  0.647  0.500 x4



So which one is most stable? That would be (i), about 39 meV per atom below the next structure.